Entry 1:
Compound: TlHgBiPd
Source: Alexandria
Functional: PBE
Structure: relaxed

Cell lengths 3.4382, 3.4382, 8.8714 Å; angles 90.00, 90.00, 90.00 degrees
Closest atoms and distances in Å follow each position.
Fractional coordinates of all 4 atoms:
Hg: 0.1476 0.8524 0.7238  4 Hg 3.44, 4 Tl 3.54-3.55, 4 Bi 3.68-3.69
Bi: 0.6458 0.3542 0.4116  4 Pd 2.87
Pd: 0.1460 0.8540 0.2389  4 Bi 2.87, 4 Tl 3.14
Tl: 0.6456 0.3544 0.0144  4 Pd 3.14, 4 Tl 3.44

Values from the calculation:
For the formation enthalpy at 0 K, the calculation gives -9.9 kJ/mol of atoms.

Entry 2:
Compound: CaMg2Sn
Source: Alexandria
Functional: PBE
Structure: relaxed

Cell lengths 4.5080, 4.5080, 10.9593 Å; angles 90.00, 90.00, 90.00 degrees
Closest atoms and distances in Å follow each position.
Fractional coordinates of all 8 atoms:
Ca: 0.0000 0.5000 0.7521  4 Sn 3.31, 5 Mg 3.34-3.57
Ca: 0.5000 0.0000 0.2479  4 Sn 3.31, 5 Mg 3.34-3.57
Mg: 0.5000 0.5000 0.5000  4 Sn 2.94, 4 Mg 3.19
Mg: 0.5000 0.0000 0.9431  1 Sn 2.97
Mg: 0.0000 0.0000 0.5000  4 Sn 2.94, 4 Mg 3.19
Mg: 0.0000 0.5000 0.0569  1 Sn 2.97
Sn: 0.5000 0.0000 0.6724  5 Mg 2.94-2.97
Sn: 0.0000 0.5000 0.3276  5 Mg 2.94-2.97

Values from the calculation:
For the formation enthalpy at 0 K, the calculation gives -30.2 kJ/mol of atoms.

Entry 3:
Compound: RbCoHg2Sb
Source: Alexandria
Functional: PBE
Structure: relaxed

Cell lengths 5.2820, 5.2820, 4.8888 Å; angles 90.00, 90.00, 90.00 degrees
Closest atoms and distances in Å follow each position.
Fractional coordinates of all 5 atoms:
Hg: 0.0000 0.5000 0.0000  2 Co 2.64
Hg: 0.5000 0.0000 0.0000  2 Co 2.64
Rb: 0.5000 0.5000 0.5000  8 Hg 3.60, 4 Sb 3.73
Co: 0.0000 0.0000 0.0000  2 Sb 2.44, 4 Hg 2.64
Sb: 0.0000 0.0000 0.5000  2 Co 2.44

Values from the calculation:
The calculation puts the formation energy without anion corrections at -43 meV/atom.

Entry 4:
Compound: MnPb5Br12
Source: Alexandria
Functional: PBE
Structure: relaxed

Cell lengths 7.5728, 7.5921, 13.8909 Å; angles 90.04, 90.07, 60.08 degrees
Closest atoms and distances in Å follow each position.
Fractional coordinates of all 18 atoms:
Pb: 0.6669 0.6661 0.0000  6 Br 3.08-3.09
Pb: 0.8332 0.3335 0.5000  6 Br 3.06
Pb: 0.5000 0.0000 0.5000  6 Br 3.06
Pb: 0.1668 0.6665 0.5000  6 Br 3.06
Pb: 0.3331 0.3339 0.0000  6 Br 3.08-3.09
Br: 0.1664 0.0000 0.6239  3 Pb 3.06
Br: 0.7028 0.0000 0.8895  1 Mn 2.72
Br: 0.8336 0.0000 0.3761  3 Pb 3.06
Br: 0.2977 0.7015 0.8889  1 Mn 2.74
Br: 0.9993 0.2985 0.8889  1 Mn 2.74
Br: 0.1670 0.3333 0.3754  3 Pb 3.06
Br: 0.2972 0.0000 0.1105  1 Mn 2.72
Br: 0.4997 0.3333 0.6247  3 Pb 3.06
Br: 0.8331 0.6667 0.6247  3 Pb 3.06
Br: 0.7023 0.2985 0.1111  1 Mn 2.74
Br: 0.5003 0.6667 0.3753  3 Pb 3.06
Br: 0.0007 0.7015 0.1111  1 Mn 2.74
Mn: 0.0000 0.0000 0.0000  6 Br 2.72-2.74

Values from the calculation:
The calculation puts the formation energy without anion corrections at -885 meV/atom.

Entry 5:
Compound: Y6Al2Pd
Source: Alexandria
Functional: PBE
Structure: relaxed

Cell lengths 8.5649, 8.5649, 8.5649 Å; angles 109.90, 110.49, 108.03 degrees
Closest atoms and distances in Å follow each position.
Fractional coordinates of all 18 atoms:
Y: 0.5702 0.7429 0.8274  1 Pd 3.09, 3 Al 3.19-3.24, 1 Y 3.37
Y: 0.2838 0.6120 0.3282  3 Al 2.92-3.06
Y: 0.7162 0.0444 0.3282  3 Al 2.92-3.06
Y: 0.8106 0.2618 0.0724  2 Pd 2.99-3.17, 2 Al 3.08-3.21
Y: 0.4298 0.2571 0.1726  1 Pd 3.09, 3 Al 3.19-3.24, 1 Y 3.37
Y: 0.0845 0.2571 0.8274  1 Pd 3.09, 3 Al 3.19-3.24, 1 Y 3.37
Y: 0.1894 0.7382 0.9276  2 Pd 2.99-3.17, 2 Al 3.08-3.21
Y: 0.1894 0.2618 0.4512  2 Pd 2.99-3.17, 2 Al 3.08-3.21
Y: 0.2838 0.9556 0.6718  3 Al 2.92-3.06
Y: 0.8106 0.7382 0.5488  2 Pd 2.99-3.17, 2 Al 3.08-3.21
Y: 0.9155 0.7429 0.1726  1 Pd 3.09, 3 Al 3.19-3.24, 1 Y 3.37
Y: 0.7162 0.3880 0.6718  3 Al 2.92-3.06
Pd: 0.0000 0.5000 0.5000  8 Y 2.99-3.32
Pd: 0.0000 0.0000 0.0000  8 Y 3.09-3.17
Al: 0.5000 0.3694 0.8694  1 Al 2.57
Al: 0.5000 0.6306 0.1306  1 Al 2.57
Al: 0.3631 0.0000 0.3631  1 Al 2.67
Al: 0.6369 0.0000 0.6369  1 Al 2.67

Values from the calculation:
For the formation enthalpy at 0 K, the calculation gives -34.3 kJ/mol of atoms.

Entry 6:
Compound: AlMo2SeN
Source: Alexandria
Functional: PBE
Structure: relaxed

Cell lengths 4.8358, 3.4770, 4.8358 Å; angles 90.00, 90.00, 90.00 degrees
Closest atoms and distances in Å follow each position.
Fractional coordinates of all 5 atoms:
Al: 0.0000 0.0000 0.0000  2 N 1.74
Mo: 0.0000 0.0000 0.5000  2 Al 2.42
Mo: 0.5000 0.0000 0.0000  2 Al 2.42
N: 0.0000 0.5000 0.0000  2 Al 1.74
Se: 0.5000 0.5000 0.5000  8 Mo 2.98

Values from the calculation:
The calculation puts the formation energy without anion corrections at 1160 meV/atom.

Entry 7:
Compound: TiInPb2S5
Source: Alexandria
Functional: PBE
Structure: relaxed

Cell lengths 3.8161, 8.7252, 13.3247 Å; angles 90.00, 90.00, 102.63 degrees
Closest atoms and distances in Å follow each position.
Fractional coordinates of all 18 atoms:
In: 0.4445 0.8890 0.4320  4 S 2.43-2.52
In: 0.5555 0.1110 0.9320  4 S 2.43-2.52
Pb: 0.8596 0.7192 0.8067  7 S 2.96-3.22
Pb: 0.1404 0.2808 0.3067  7 S 2.96-3.22
Pb: 0.8957 0.7914 0.1501  4 S 2.82-3.08
Pb: 0.1043 0.2086 0.6501  4 S 2.82-3.08
S: 0.0594 0.1187 0.0517  2 In 2.49, 1 Ti 2.71
S: 0.3585 0.7171 0.0017  1 Ti 2.44
S: 0.2768 0.5535 0.6625  2 Ti 2.54
S: 0.5106 0.0211 0.2708  1 In 2.43
S: 0.2976 0.5952 0.4111  1 In 2.52, 2 Ti 2.56
S: 0.7024 0.4048 0.9111  1 In 2.52, 2 Ti 2.56
S: 0.7232 0.4465 0.1625  2 Ti 2.54
S: 0.9406 0.8813 0.5517  2 In 2.49, 1 Ti 2.71
S: 0.4894 0.9789 0.7708  1 In 2.43
S: 0.6415 0.2829 0.5017  1 Ti 2.44
Ti: 0.2181 0.4362 0.0373  6 S 2.44-2.71
Ti: 0.7819 0.5638 0.5373  6 S 2.44-2.71

Values from the calculation:
The calculation puts the formation energy without anion corrections at -701 meV/atom.

Entry 8:
Compound: AgPbAu2
Source: Alexandria
Functional: PBE
Structure: relaxed

Cell lengths 4.4543, 4.4543, 4.2003 Å; angles 90.00, 90.00, 90.00 degrees
Closest atoms and distances in Å follow each position.
Fractional coordinates of all 4 atoms:
Au: 0.0000 0.0000 0.0000  4 Ag 3.06, 4 Pb 3.06, 4 Au 3.15
Au: 0.5000 0.5000 0.0000  4 Pb 3.06, 4 Ag 3.06, 4 Au 3.15
Pb: 0.5000 0.0000 0.5000  8 Au 3.06, 4 Ag 3.15
Ag: 0.0000 0.5000 0.5000  8 Au 3.06, 4 Pb 3.15

Values from the calculation:
For the formation enthalpy at 0 K, the calculation gives 4.0 kJ/mol of atoms.

Entry 9:
Compound: TaBiRh
Source: Alexandria
Functional: PBE
Structure: relaxed

Cell lengths 3.4397, 3.4404, 12.0834 Å; angles 90.00, 90.00, 119.99 degrees
Closest atoms and distances in Å follow each position.
Fractional coordinates of all 6 atoms:
Rh: 0.6110 0.2221 0.0000  6 Ta 2.61
Rh: 0.2780 0.5559 0.5000  6 Bi 2.80
Bi: 0.6111 0.2222 0.3364  3 Rh 2.80, 3 Ta 3.09
Bi: 0.6111 0.2222 0.6636  3 Rh 2.80, 3 Ta 3.09
Ta: 0.2777 0.5555 0.1403  3 Rh 2.61
Ta: 0.2777 0.5555 0.8597  3 Rh 2.61

Values from the calculation:
For the formation enthalpy at 0 K, the calculation gives 23.8 kJ/mol of atoms.

Entry 10:
Compound: BaAlRe2Os
Source: Alexandria
Functional: PBE
Structure: relaxed

Cell lengths 4.5790, 5.3454, 4.5790 Å; angles 90.00, 90.00, 90.00 degrees
Closest atoms and distances in Å follow each position.
Fractional coordinates of all 5 atoms:
Ba: 0.0000 0.5000 0.0000  2 Al 2.67
Re: 0.0000 0.0000 0.5000  2 Al 2.29
Re: 0.5000 0.0000 0.0000  2 Al 2.29
Os: 0.5000 0.5000 0.5000  4 Ba 3.24, 8 Re 3.52
Al: 0.0000 0.0000 0.0000  4 Re 2.29

Values from the calculation:
For the formation enthalpy at 0 K, the calculation gives 224.6 kJ/mol of atoms.

Entry 11:
Compound: SrDyCu10
Source: Alexandria
Functional: PBE
Structure: relaxed

Cell lengths 4.0371, 5.2005, 8.9040 Å; angles 90.00, 90.00, 90.00 degrees
Closest atoms and distances in Å follow each position.
Fractional coordinates of all 12 atoms:
Cu: 0.0000 0.5000 0.1593  6 Cu 2.47-2.52
Cu: 0.5000 0.2431 0.7604  8 Cu 2.50-2.67
Cu: 0.5000 0.7569 0.7604  8 Cu 2.50-2.67
Cu: 0.5000 0.7569 0.2396  8 Cu 2.50-2.67
Cu: 0.5000 0.2431 0.2396  8 Cu 2.50-2.67
Cu: 0.0000 0.0000 0.6752  6 Cu 2.50-2.55
Cu: 0.5000 0.5000 0.0000  8 Cu 2.47-2.52
Cu: 0.5000 0.0000 0.5000  8 Cu 2.55-2.64
Cu: 0.0000 0.0000 0.3248  6 Cu 2.50-2.55
Cu: 0.0000 0.5000 0.8407  6 Cu 2.47-2.52
Sr: 0.0000 0.5000 0.5000  18 Cu 3.03-3.35
Dy: 0.0000 0.0000 0.0000  14 Cu 2.89-3.20

Values from the calculation:
For the formation enthalpy at 0 K, the calculation gives -12.5 kJ/mol of atoms.

Entry 12:
Compound: YBe2In
Source: Alexandria
Functional: PBE
Structure: relaxed

Cell lengths 5.4855, 5.4855, 5.4855 Å; angles 43.95, 43.95, 43.95 degrees
Closest atoms and distances in Å follow each position.
Fractional coordinates of all 4 atoms:
Y: 0.7500 0.7500 0.7500  8 Be 3.02-3.07
Be: 0.5433 0.5433 0.5433  3 In 2.44, 3 Be 2.65
Be: 0.9567 0.9567 0.9567  3 In 2.44, 3 Be 2.65
In: 0.2500 0.2500 0.2500  6 Be 2.44

Values from the calculation:
For the formation enthalpy at 0 K, the calculation gives 0.2 kJ/mol of atoms.

Entry 13:
Compound: Sm2Dy5Y2
Source: Alexandria
Functional: PBE
Structure: relaxed

Cell lengths 5.0403, 9.4401, 7.9798 Å; angles 53.75, 71.59, 74.52 degrees
Closest atoms and distances in Å follow each position.
Fractional coordinates of all 9 atoms:
Y: 0.5563 0.6679 0.2196  7 Dy 3.55-3.58, 4 Sm 3.58, 1 Y 3.60
Y: 0.4437 0.3321 0.7804  7 Dy 3.55-3.58, 4 Sm 3.58, 1 Y 3.60
Dy: 0.7783 0.3318 0.1116  3 Y 3.55-3.58, 6 Dy 3.56-3.58, 3 Sm 3.56-3.57
Dy: 0.2217 0.6682 0.8884  3 Y 3.55-3.58, 6 Dy 3.56-3.58, 3 Sm 3.56-3.57
Dy: 0.0000 0.0000 0.0000  6 Dy 3.56-3.57, 4 Y 3.56, 2 Sm 3.57
Dy: 0.6668 0.0001 0.6663  3 Sm 3.55-3.56, 2 Y 3.56-3.57, 7 Dy 3.56-3.57
Dy: 0.3332 0.9999 0.3337  3 Sm 3.55-3.56, 2 Y 3.56-3.57, 7 Dy 3.56-3.57
Sm: 0.1119 0.3323 0.4438  7 Dy 3.55-3.57, 4 Y 3.58, 1 Sm 3.59
Sm: 0.8881 0.6677 0.5562  7 Dy 3.55-3.57, 4 Y 3.58, 1 Sm 3.59

Values from the calculation:
For the formation enthalpy at 0 K, the calculation gives 1.7 kJ/mol of atoms. Its offset from the most stable computed form is 0 meV per atom.

| no. | M_tot (μB/f.u.) |
| --- | --- |
| 1 | 0.0 |
| 2 | 0.0 |
| 3 | 0.6 |
| 4 | 5.0 |
| 5 | 0.0 |
| 6 | 2.8 |
| 7 | 1.0 |
| 8 | 0.0 |
| 9 | 0.0 |
| 10 | 1.3 |
| 11 | 0.0 |
| 12 | 0.0 |
| 13 | 0.0 |